A geometry-optimized RbCo3O structure. Source: the Alexandria database, functional PBE with a Hubbard U.

The structure belongs to space group Pm-3m (No. 221); the cell edges are 4.2717, 4.2717 and 4.2717 Å and the angles 90.00°, 90.00° and 90.00°. The asymmetric unit holds Rb at (0.0000, 0.0000, 0.0000), Co at (0.0000, 0.5000, 0.5000) and O at (0.5000, 0.5000, 0.5000).

The value obtained for the total energy is -16.2 eV/f.u. The excess energy over the best structure of this formula in the dataset comes out at 0.000 eV/atom.